(1)
! AlInRu2, optimized geometry, DFT PBE-GGA; values from VASP
! DOS at the Fermi energy: 2.11 states/eV/cell
! ΔE_f: -0.136 eV per atom
&SYSTEM
  ibrav = 0, nat = 4, ntyp = 3
/
ATOMIC_SPECIES
In 114.82 In.upf
Ru 101.07 Ru.upf
Al 26.98 Al.upf
CELL_PARAMETERS angstrom
5.116 0.002 0.000
4.254 2.842 0.000
1.474 0.447 4.315
ATOMIC_POSITIONS angstrom
In 8.120 2.465 3.530
Ru 10.634 3.228 4.056
Ru 2.903 0.881 1.340
Al 5.453 1.655 1.861

(2)
! AlInRu2, optimized geometry, DFT PBE-GGA; values from VASP
! DOS at the Fermi energy: 2.81 states/eV/cell
! ΔE_f: -0.072 eV per atom
&SYSTEM
  ibrav = 0, nat = 4, ntyp = 3
/
ATOMIC_SPECIES
Ru 101.07 Ru.upf
Al 26.98 Al.upf
In 114.82 In.upf
CELL_PARAMETERS angstrom
5.376 -0.003 -0.002
2.728 4.633 0.002
-3.613 -3.082 2.519
ATOMIC_POSITIONS angstrom
Ru 1.618 1.953 1.260
Ru 0.113 0.065 0.000
Al 3.897 2.227 0.000
In 2.913 -0.382 1.259

(3)
! AlInRu2, optimized geometry, DFT PBE-GGA; values from VASP
! DOS at the Fermi energy: 4.13 states/eV/cell
! ΔE_f: -0.027 eV per atom
&SYSTEM
  ibrav = 0, nat = 4, ntyp = 3
/
ATOMIC_SPECIES
In 114.82 In.upf
Ru 101.07 Ru.upf
Al 26.98 Al.upf
CELL_PARAMETERS angstrom
-8.336 0.256 1.966
-7.812 -2.614 2.360
-7.242 -0.704 4.525
ATOMIC_POSITIONS angstrom
In -17.542 -2.297 6.638
Ru -23.254 -3.045 8.800
Ru -11.831 -1.549 4.477
Al -5.847 -0.766 2.213

(4)
! AlIn2Ru, optimized geometry, DFT PBE-GGA; values from VASP
! DOS at the Fermi energy: 1.89 states/eV/cell
! ΔE_f: 0.073 eV per atom
&SYSTEM
  ibrav = 0, nat = 4, ntyp = 3
/
ATOMIC_SPECIES
Al 26.98 Al.upf
Ru 101.07 Ru.upf
In 114.82 In.upf
CELL_PARAMETERS angstrom
-0.744 -3.275 0.390
3.711 -0.931 -0.737
1.176 0.381 5.441
ATOMIC_POSITIONS angstrom
Al 2.365 -1.817 3.908
Ru 1.778 -2.007 1.187
In 0.580 0.188 2.683
In 0.008 0.003 0.038

(5)
! AlIn2Ru, optimized geometry, DFT PBE-GGA; values from VASP
! DOS at the Fermi energy: 2.37 states/eV/cell
! ΔE_f: 0.185 eV per atom
&SYSTEM
  ibrav = 0, nat = 4, ntyp = 3
/
ATOMIC_SPECIES
In 114.82 In.upf
Al 26.98 Al.upf
Ru 101.07 Ru.upf
CELL_PARAMETERS angstrom
3.072 0.000 0.000
0.000 3.072 0.000
0.000 0.000 8.322
ATOMIC_POSITIONS angstrom
In 0.000 0.000 0.305
In 0.000 0.000 3.856
Al 1.536 1.536 6.241
Ru 1.536 1.536 2.080

(6)
! AlInRu2, optimized geometry, DFT PBE-GGA; values from VASP
! DOS at the Fermi energy: 2.81 states/eV/cell
! ΔE_f: 0.082 eV per atom
&SYSTEM
  ibrav = 0, nat = 4, ntyp = 3
/
ATOMIC_SPECIES
Ru 101.07 Ru.upf
In 114.82 In.upf
Al 26.98 Al.upf
CELL_PARAMETERS angstrom
-0.853 2.454 -1.724
-0.821 -2.939 -3.778
-3.989 -0.502 1.258
ATOMIC_POSITIONS angstrom
Ru 0.000 0.000 0.000
Ru -0.837 -0.243 -2.751
In -2.405 -1.721 -1.260
Al -2.421 0.976 -0.233

(7)
! AlInRu2, optimized geometry, DFT PBE-GGA; values from VASP
! DOS at the Fermi energy: 3.88 states/eV/cell
! ΔE_f: 0.015 eV per atom
&SYSTEM
  ibrav = 0, nat = 4, ntyp = 3
/
ATOMIC_SPECIES
Al 26.98 Al.upf
Ru 101.07 Ru.upf
In 114.82 In.upf
CELL_PARAMETERS angstrom
3.192 0.000 0.000
0.000 3.192 0.000
0.000 0.000 6.242
ATOMIC_POSITIONS angstrom
Al 0.000 0.000 2.841
Ru 0.000 0.000 0.022
Ru 1.596 1.596 1.757
In 1.596 1.596 4.742

(8)
! AlIn2Ru, optimized geometry, DFT PBE-GGA; values from VASP
! DOS at the Fermi energy: 1.54 states/eV/cell
! ΔE_f: 0.085 eV per atom
&SYSTEM
  ibrav = 0, nat = 4, ntyp = 3
/
ATOMIC_SPECIES
In 114.82 In.upf
Ru 101.07 Ru.upf
Al 26.98 Al.upf
CELL_PARAMETERS angstrom
5.131 0.001 -0.008
1.813 4.800 0.008
-3.468 -2.406 2.917
ATOMIC_POSITIONS angstrom
In 3.471 2.400 0.000
In 0.001 0.001 0.000
Ru 2.567 -0.002 1.454
Al 0.909 2.397 1.462

Number 1: final energy -6.39 eV/atom. Number 2: final energy -6.33 eV/atom. Number 3: final energy -6.28 eV/atom. Number 4: final energy -4.55 eV/atom. Number 5: final energy -4.44 eV/atom. Number 6: final energy -6.18 eV/atom. Number 7: final energy -6.24 eV/atom. Number 8: final energy -4.54 eV/atom.